1.
Here is a relaxed structure of RbInCu2C from Alexandria via LeMat-Bulk. Energies are from GGA-PBE.

a = 4.9177 Å, b = 4.9177 Å, c = 7.1146 Å
α = 90.00°, β = 90.00°, γ = 90.00°
Fractional positions:
Rb 0.0000 0.0000 0.0000
In 0.0000 0.0000 0.5000
Cu 0.0000 0.5000 0.5000
Cu 0.5000 0.0000 0.5000
C 0.5000 0.5000 0.0000

Summary:
Density of states at the Fermi level, states/eV/cell: 4.1
Formation enthalpy at 0 K, eV per atom: 1.775

2.
Here is a relaxed structure of InCuSb2C from Alexandria via LeMat-Bulk. Energies are from GGA-PBE.

a = 5.0531 Å, b = 5.0531 Å, c = 4.9540 Å
α = 90.00°, β = 90.00°, γ = 90.00°
Fractional positions:
In 0.0000 0.0000 0.0000
Cu 0.0000 0.0000 0.5000
Sb 0.0000 0.5000 0.5000
Sb 0.5000 0.0000 0.5000
C 0.5000 0.5000 0.0000

Summary:
Electronic total energy, eV/atom: -3.304
Density of states at the Fermi level, states/eV/cell: 2.7

3.
Here is a relaxed structure of In2CuTeC from Alexandria via LeMat-Bulk. Energies are from GGA-PBE.

a = 6.5276 Å, b = 6.5276 Å, c = 4.7419 Å
α = 90.00°, β = 90.00°, γ = 90.00°
Fractional positions:
In 0.0000 0.5000 0.0000
In 0.5000 0.0000 0.0000
Cu 0.0000 0.0000 0.5000
Te 0.0000 0.0000 0.0000
C 0.5000 0.5000 0.5000

Summary:
Electronic total energy, eV/atom: -2.715
Density of states at the Fermi level, states/eV/cell: 0.6

4.
Here is a relaxed structure of TlIn2CuC from Alexandria via LeMat-Bulk. Energies are from GGA-PBE.

a = 5.1926 Å, b = 5.1926 Å, c = 3.8026 Å
α = 90.00°, β = 90.00°, γ = 90.00°
Fractional positions:
Tl 0.0000 0.0000 0.0000
In 0.0000 0.5000 0.5000
In 0.5000 0.0000 0.5000
Cu 0.5000 0.5000 0.0000
C 0.5000 0.5000 0.5000

Summary:
Density of states at the Fermi level, states/eV/cell: 2.1
Formation enthalpy at 0 K, eV per atom: 0.640

5.
Here is a relaxed structure of CuIrC3 from Alexandria via LeMat-Bulk. Energies are from GGA-PBE.

a = 3.7568 Å, b = 3.7568 Å, c = 3.7568 Å
α = 90.00°, β = 90.00°, γ = 90.00°
Fractional positions:
Cu 0.0000 0.0000 0.0000
Ir 0.5000 0.5000 0.5000
C 0.0000 0.0000 0.5000
C 0.0000 0.5000 0.0000
C 0.5000 0.0000 0.0000

Summary:
Offset from the most stable computed form, eV/f.u.: 2.65
Density of states at the Fermi level, states/eV/cell: 2.0
Formation enthalpy at 0 K, eV per atom: 2.821

6.
Here is a relaxed structure of Cu3IrC from Alexandria via LeMat-Bulk. Energies are from GGA-PBE.

a = 3.8687 Å, b = 3.8687 Å, c = 3.8687 Å
α = 90.00°, β = 90.00°, γ = 90.00°
Fractional positions:
Cu 0.0000 0.0000 0.5000
Cu 0.0000 0.5000 0.0000
Cu 0.5000 0.0000 0.0000
Ir 0.5000 0.5000 0.5000
C 0.0000 0.0000 0.0000

Summary:
Offset from the most stable computed form, eV/f.u.: 0.00
Density of states at the Fermi level, states/eV/cell: 6.1
Formation enthalpy at 0 K, eV per atom: 0.650

7.
Here is a relaxed structure of Cu3IrC from Alexandria via LeMat-Bulk. Energies are from GGA-PBE.

a = 4.6083 Å, b = 4.6083 Å, c = 4.6083 Å
α = 90.00°, β = 90.00°, γ = 90.00°
Fractional positions:
Cu 0.0000 0.0000 0.5000
Cu 0.0000 0.5000 0.0000
Cu 0.5000 0.0000 0.0000
Ir 0.0000 0.0000 0.0000
C 0.5000 0.5000 0.5000

Summary:
Offset from the most stable computed form, eV/f.u.: 8.88
Density of states at the Fermi level, states/eV/cell: 5.4
Formation enthalpy at 0 K, eV per atom: 2.427

8.
Here is a relaxed structure of CuIrC3 from Alexandria via LeMat-Bulk. Energies are from GGA-PBE.

a = 3.9804 Å, b = 3.9804 Å, c = 3.9804 Å
α = 90.00°, β = 90.00°, γ = 90.00°
Fractional positions:
Cu 0.0000 0.0000 0.0000
Ir 0.5000 0.5000 0.5000
C 0.0000 0.5000 0.5000
C 0.5000 0.0000 0.5000
C 0.5000 0.5000 0.0000

Summary:
Offset from the most stable computed form, eV/f.u.: 0.00
Density of states at the Fermi level, states/eV/cell: 4.4
Formation enthalpy at 0 K, eV per atom: 2.292